Record 1
SrBe2Se: relaxed, GGA-PBE.

Output
Its uncorrected formation energy is 1.70 eV per formula unit. For the total energy, the calculation gives -0.201 Ry per atom. The value obtained for the volume is 21.167 Å³/atom.

Lattice parameters (Å, degrees): 6.9705 6.9705 6.9705 90.00 90.00 90.00
Space group F-43m (No. 216)
Symmetry-distinct sites (fractional):
Sr (0.0000, 0.0000, 0.0000)
Be (0.0000, 0.0000, 0.5000)
Be (0.2500, 0.2500, 0.2500)
Se (0.2500, 0.2500, 0.7500)

Record 2
LaBe3As4: relaxed, GGA-PBE.

Output
For the total energy, the calculation gives -0.317 Ry per atom. The value obtained for the volume is 20.214 Å³/atom.

Lattice parameters (Å, degrees): 6.8643 6.8643 6.8643 90.00 90.00 90.00
Space group Pm-3n (No. 223)
Symmetry-distinct sites (fractional):
La (0.0000, 0.0000, 0.0000)
Be (0.0000, 0.2500, 0.5000)
As (0.2500, 0.2500, 0.2500)

Record 3
GaBiN2O: relaxed, GGA-PBE.

Output
Its uncorrected formation energy is 5.65 eV per formula unit. For the total energy, the calculation gives -0.336 Ry per atom. The value obtained for the volume is 16.923 Å³/atom.

Lattice parameters (Å, degrees): 4.4432 4.4432 4.2860 90.00 90.00 90.00
Space group P4/mmm (No. 123)
Symmetry-distinct sites (fractional):
Ga (0.0000, 0.0000, 0.0000)
Bi (0.5000, 0.5000, 0.5000)
N (0.0000, 0.5000, 0.5000)
O (0.5000, 0.5000, 0.0000)

Record 4
NiPtN3: relaxed, GGA-PBE.

Output
Its uncorrected formation energy is 10.79 eV per formula unit. For the total energy, the calculation gives -0.382 Ry per atom. The value obtained for the volume is 11.862 Å³/atom.

Lattice parameters (Å, degrees): 3.8998 3.8998 3.8998 90.00 90.00 90.00
Space group Pm-3m (No. 221)
Symmetry-distinct sites (fractional):
Ni (0.0000, 0.0000, 0.0000)
Pt (0.5000, 0.5000, 0.5000)
N (0.0000, 0.5000, 0.5000)

Record 5
MnZn2Pt: relaxed, GGA-PBE.

Output
For the total energy, the calculation gives -0.322 Ry per atom. The value obtained for the volume is 16.911 Å³/atom.

Lattice parameters (Å, degrees): 2.7303 4.4630 11.1027 90.00 90.00 90.00
Space group Immm (No. 71)
Symmetry-distinct sites (fractional):
Mn (0.0000, 0.0000, 0.0000)
Zn (0.0000, 0.0000, 0.2703)
Pt (0.0000, 0.0000, 0.5000)

Record 6
UMn4Ge: relaxed, GGA-PBE.

Output
For the total energy, the calculation gives -0.633 Ry per atom. Its energy above the most stable polymorph in this dataset is 0.0 meV/atom. The value obtained for the volume is 14.017 Å³/atom.

Lattice parameters (Å, degrees): 6.9549 6.9549 6.9549 90.00 90.00 90.00
Space group F-43m (No. 216)
Symmetry-distinct sites (fractional):
U (0.0000, 0.0000, 0.0000)
Mn (0.1238, 0.1238, 0.3762)
Ge (0.2500, 0.2500, 0.7500)

Record 7
Mg7Pb3: relaxed, GGA-PBE.

Output
For the total energy, the calculation gives -0.168 Ry per atom. Its energy above the most stable polymorph in this dataset is 0.0 meV/atom. The value obtained for the volume is 24.564 Å³/atom.

Lattice parameters (Å, degrees): 16.6651 4.6453 6.5186 90.00 103.21 90.00
Space group C2/m (No. 12)
Symmetry-distinct sites (fractional):
Mg (0.0000, 0.0000, 0.0000)
Mg (0.0970, 0.5000, 0.3086)
Mg (0.1016, 0.5000, 0.8116)
Mg (0.2007, 0.0000, 0.6120)
Pb (0.0000, 0.0000, 0.5000)
Pb (0.1950, 0.0000, 0.1249)

Record 8
ErMn2Pt9: relaxed, GGA-PBE.

Output
For the total energy, the calculation gives -0.516 Ry per atom. The value obtained for the volume is 15.884 Å³/atom.

Lattice parameters (Å, degrees): 3.9967 3.9967 11.9329 90.00 90.00 90.00
Space group P4/mmm (No. 123)
Symmetry-distinct sites (fractional):
Er (0.0000, 0.0000, 0.0000)
Mn (0.0000, 0.0000, 0.3389)
Pt (0.0000, 0.5000, 0.1776)
Pt (0.0000, 0.5000, 0.5000)
Pt (0.5000, 0.5000, 0.0000)
Pt (0.5000, 0.5000, 0.3383)

Record 9
ZnGa2Pd: relaxed, GGA-PBE.

Output
For the total energy, the calculation gives -0.248 Ry per atom. The value obtained for the volume is 16.186 Å³/atom.

Lattice parameters (Å, degrees): 2.9874 2.9874 25.1305 90.00 90.00 120.00
Space group R3m (No. 160, hexagonal axes)
Symmetry-distinct sites (fractional):
Zn (0.0000, 0.0000, 0.0000)
Ga (0.0000, 0.0000, 0.2466)
Ga (0.0000, 0.0000, 0.4203)
Pd (0.0000, 0.0000, 0.8342)

Record 10
HoCd2Au: relaxed, GGA-PBE.

Output
For the total energy, the calculation gives -0.211 Ry per atom. The value obtained for the volume is 22.706 Å³/atom.

Lattice parameters (Å, degrees): 4.6840 4.6840 16.5585 90.00 90.00 90.00
Space group I4/mmm (No. 139)
Symmetry-distinct sites (fractional):
Ho (0.0000, 0.0000, 0.1413)
Cd (0.0000, 0.0000, 0.3717)
Cd (0.0000, 0.5000, 0.0000)
Au (0.0000, 0.5000, 0.2500)

Record 11
DyGaS3: relaxed, GGA-PBE.

Output
Its uncorrected formation energy is -6.75 eV per formula unit. For the total energy, the calculation gives -0.393 Ry per atom. The value obtained for the volume is 27.666 Å³/atom.

Lattice parameters (Å, degrees): 3.8818 22.2933 6.3941 90.00 90.00 90.00
Space group Ama2 (No. 40)
Symmetry-distinct sites (fractional):
Dy (0.2500, 0.1749, 0.0000)
Ga (0.2500, 0.3754, 0.9322)
S (0.2500, 0.0814, 0.2888)
S (0.2500, 0.2805, 0.7682)
S (0.2500, 0.3793, 0.2843)

Record 12
RbMnTe2Au: relaxed, GGA-PBE.

Output
Its uncorrected formation energy is -2.21 eV per formula unit. For the total energy, the calculation gives -0.322 Ry per atom. The value obtained for the volume is 34.325 Å³/atom.

Lattice parameters (Å, degrees): 6.6846 15.0229 6.8362 90.00 90.00 90.00
Space group Cmme (No. 67)
Symmetry-distinct sites (fractional):
Rb (0.0000, 0.2500, 0.2253)
Mn (0.2500, 0.0000, 0.5000)
Te (0.0000, 0.1133, 0.7087)
Au (0.0000, 0.0000, 0.0000)

Record 13
DyEr3S4: relaxed, GGA-PBE.

Output
Its uncorrected formation energy is -15.69 eV per formula unit. For the total energy, the calculation gives -0.464 Ry per atom. Its energy above the most stable polymorph in this dataset is 0.0 meV/atom. The value obtained for the volume is 20.547 Å³/atom.

Lattice parameters (Å, degrees): 7.8077 10.9634 3.8406 90.00 90.00 90.00
Space group Cmmm (No. 65)
Symmetry-distinct sites (fractional):
Dy (0.0000, 0.0000, 0.0000)
Er (0.0000, 0.5000, 0.0000)
Er (0.2500, 0.2500, 0.5000)
S (0.0000, 0.2514, 0.0000)
S (0.2473, 0.5000, 0.5000)

Record 14
CsSnHg: relaxed, GGA-PBE.

Output
For the total energy, the calculation gives -0.132 Ry per atom. Its energy above the most stable polymorph in this dataset is 172.4 meV/atom. The value obtained for the volume is 39.383 Å³/atom.

Lattice parameters (Å, degrees): 4.1568 4.1568 13.6757 90.00 90.00 90.00
Space group I4mm (No. 107)
Symmetry-distinct sites (fractional):
Cs (0.0000, 0.0000, 0.0000)
Sn (0.0000, 0.0000, 0.2820)
Hg (0.0000, 0.0000, 0.7211)

Record 15
LuPaTcOs: relaxed, GGA-PBE.

Output
For the total energy, the calculation gives -0.677 Ry per atom. The value obtained for the volume is 19.731 Å³/atom.

Lattice parameters (Å, degrees): 6.8091 6.8091 6.8091 90.00 90.00 90.00
Space group F-43m (No. 216)
Symmetry-distinct sites (fractional):
Lu (0.0000, 0.0000, 0.0000)
Pa (0.0000, 0.0000, 0.5000)
Tc (0.2500, 0.2500, 0.2500)
Os (0.2500, 0.2500, 0.7500)

Record 16
Nd6Pt2SBr3: relaxed, GGA-PBE.

Output
Its uncorrected formation energy is -16.05 eV per formula unit. For the total energy, the calculation gives -0.404 Ry per atom. The value obtained for the volume is 29.230 Å³/atom.

Lattice parameters (Å, degrees): 7.4161 12.7844 7.7927 90.00 108.28 90.00
Space group C2/m (No. 12)
Symmetry-distinct sites (fractional):
Nd (0.2214, 0.0000, 0.2013)
Nd (0.2409, 0.3275, 0.2033)
Pt (0.0000, 0.1674, 0.0000)
S (0.0000, 0.5000, 0.0000)
Br (0.0000, 0.0000, 0.5000)
Br (0.0000, 0.3409, 0.5000)

Record 17
AcY4Te8: relaxed, GGA-PBE.

Output
Its uncorrected formation energy is -17.62 eV per formula unit. For the total energy, the calculation gives -0.411 Ry per atom. The value obtained for the volume is 39.115 Å³/atom.

Lattice parameters (Å, degrees): 8.6417 8.6417 23.5875 90.00 90.00 120.00
Space group R-3m (No. 166, hexagonal axes)
Symmetry-distinct sites (fractional):
Ac (0.0000, 0.0000, 0.0000)
Y (0.0000, 0.0000, 0.5000)
Y (0.0000, 0.5000, 0.5000)
Te (0.0000, 0.0000, 0.2425)
Te (0.0062, 0.5031, 0.2442)

Record 18
LaYBe: relaxed, GGA-PBE.

Output
For the total energy, the calculation gives -0.361 Ry per atom. Its energy above the most stable polymorph in this dataset is 12.1 meV/atom. The value obtained for the volume is 26.326 Å³/atom.

Lattice parameters (Å, degrees): 3.5851 3.5851 12.2894 90.00 90.00 90.00
Space group I4mm (No. 107)
Symmetry-distinct sites (fractional):
La (0.0000, 0.0000, 0.0000)
Y (0.0000, 0.0000, 0.7339)
Be (0.0000, 0.0000, 0.3517)

Record 19
AsS2O8: relaxed, GGA-PBE.

Output
Its uncorrected formation energy is -11.01 eV per formula unit. For the total energy, the calculation gives -0.425 Ry per atom. Its energy above the most stable polymorph in this dataset is 0.0 meV/atom. The value obtained for the volume is 16.500 Å³/atom.

Lattice parameters (Å, degrees): 4.6192 6.2869 6.3177 87.90 83.70 84.65
Space group P1 (No. 1)
Symmetry-distinct sites (fractional):
As (0.0000, 0.0000, 0.0000)
S (0.3559, 0.2379, 0.1954)
S (0.6445, 0.8071, 0.7598)
O (0.2270, 0.2421, 0.9717)
O (0.2526, 0.0398, 0.2998)
O (0.2785, 0.4357, 0.3014)
O (0.3118, 0.8530, 0.7834)
O (0.6889, 0.2152, 0.1498)
O (0.7227, 0.7046, 0.5605)
O (0.7417, 0.6985, 0.9551)
O (0.7778, 0.0315, 0.7593)

Record 20
Na2CaPbBr: relaxed, GGA-PBE.

Output
Its uncorrected formation energy is -1.60 eV per formula unit. For the total energy, the calculation gives -0.171 Ry per atom. The value obtained for the volume is 37.136 Å³/atom.

Lattice parameters (Å, degrees): 5.3245 5.3245 6.5494 90.00 90.00 90.00
Space group P4/mmm (No. 123)
Symmetry-distinct sites (fractional):
Na (0.0000, 0.5000, 0.0000)
Ca (0.0000, 0.0000, 0.5000)
Pb (0.5000, 0.5000, 0.5000)
Br (0.5000, 0.5000, 0.0000)

Record 21
Sc5GaBi: relaxed, GGA-PBE.

Output
For the total energy, the calculation gives -0.421 Ry per atom. The value obtained for the volume is 23.781 Å³/atom.

Lattice parameters (Å, degrees): 7.8815 8.2684 10.2557 90.00 94.92 90.00
Space group C2/c (No. 15)
Symmetry-distinct sites (fractional):
Sc (0.0000, 0.1157, 0.2500)
Sc (0.1523, 0.3890, 0.5105)
Sc (0.1870, 0.2139, 0.8484)
Ga (0.0000, 0.0000, 0.0000)
Bi (0.0000, 0.4833, 0.2500)

Record 22
SrTa2Hg: relaxed, GGA-PBE.

Output
For the total energy, the calculation gives -0.418 Ry per atom. The value obtained for the volume is 22.621 Å³/atom.

Lattice parameters (Å, degrees): 3.1045 5.1885 5.6176 90.00 90.00 90.00
Space group Pmmm (No. 47)
Symmetry-distinct sites (fractional):
Sr (0.0000, 0.0000, 0.0000)
Ta (0.0000, 0.5000, 0.5000)
Ta (0.5000, 0.0000, 0.5000)
Hg (0.5000, 0.5000, 0.0000)